# 1
Ba2TeRh | Alexandria | GGA-PBE | relaxed; volume = 32.6 Å³/atom
1.0
-2.725 0.449 -4.886
-1.509 -5.246 1.306
-3.366 1.469 2.013
Ba Te Rh
2 1 1
Cartesian
-0.754 -2.623 0.653 Ba
-1.363 0.225 -2.443 Ba
-3.800 -1.664 -0.784 Te
-1.683 0.735 1.006 Rh


# 2
BaTe2Rh | Alexandria | GGA-PBE | relaxed; relative energy among the computed polymorphs = 9.232 kcal/mol of atoms; volume = 32.1 Å³/atom
1.0
-3.999 -0.829 -1.237
1.404 -1.651 3.676
-2.570 6.544 3.921
Ba Te Rh
1 2 1
Cartesian
-2.582 2.032 3.180 Ba
-0.499 1.272 0.762 Te
-2.071 5.272 3.159 Te
-1.297 -1.240 1.219 Rh


# 3
BaTe2Rh | Alexandria | GGA-PBE | relaxed; relative energy among the computed polymorphs = 18.624 kcal/mol of atoms; volume = 28.1 Å³/atom
1.0
4.586 1.561 2.428
-0.017 4.276 3.329
0.621 -0.718 5.335
Ba Te Rh
1 2 1
Cartesian
2.595 2.560 5.546 Ba
0.000 0.000 0.000 Te
3.892 3.840 8.319 Te
1.297 1.280 2.773 Rh


# 4
BaTe2Rh | Alexandria | GGA-PBE | relaxed; relative energy among the computed polymorphs = 13.496 kcal/mol of atoms; volume = 28.2 Å³/atom
1.0
-5.389 0.514 0.284
-2.889 0.793 -4.517
-3.202 -3.941 -1.896
Te Rh Ba
2 1 1
Cartesian
-2.870 -0.658 -1.532 Te
-8.610 -1.975 -4.597 Te
0.000 0.000 0.000 Rh
-5.740 -1.317 -3.065 Ba


# 5
Ba2TeRh | Alexandria | GGA-PBE | relaxed; volume = 38.7 Å³/atom
1.0
-0.621 -3.902 2.657
2.911 -2.426 -2.883
5.333 1.791 3.877
Ba Te Rh
2 1 1
Cartesian
4.940 1.659 3.591 Ba
3.082 -2.513 1.295 Ba
5.729 -1.624 3.219 Te
1.870 0.628 1.360 Rh


# 6
BaTe2Rh | Alexandria | GGA-PBE | relaxed; relative energy among the computed polymorphs = 12.821 kcal/mol of atoms; volume = 28.1 Å³/atom
1.0
5.308 0.000 0.000
0.000 5.308 0.000
0.000 0.000 3.990
Ba Te Rh
1 2 1
Cartesian
2.654 2.654 1.995 Ba
2.654 0.000 0.000 Te
0.000 2.654 0.000 Te
0.000 0.000 1.995 Rh


# 7
Ba2TeRh | Alexandria | GGA-PBE | relaxed; volume = 30.0 Å³/atom
1.0
2.392 3.541 3.516
-1.984 0.566 5.135
2.895 -1.912 4.311
Ba Te Rh
2 1 1
Cartesian
0.000 0.000 0.000 Ba
2.478 1.646 9.721 Ba
0.826 0.549 3.240 Te
1.652 1.098 6.481 Rh


# 8
BaTeRh4 | Alexandria | GGA-PBE | relaxed; volume = 19.4 Å³/atom
1.0
1.983 -4.897 -1.472
-3.059 -4.505 0.651
-2.047 -2.582 -4.384
Ba Te Rh
1 1 4
Cartesian
0.000 0.000 0.000 Ba
-2.342 -8.988 -3.904 Te
-0.197 -6.931 -2.687 Rh
-2.187 -5.788 -4.125 Rh
-2.687 -6.737 -1.639 Rh
-1.176 -4.513 -1.960 Rh


Results for energy relative to the elements, uncorrected: -0.61; -0.45; -0.04; -0.26; -0.57; -0.29; -0.28; 0.10 (in eV/atom, following the order of the records).